No. 1
A plane-wave DFT calculation with PBEsol was carried out for crystalline KRu2Cl at its relaxed geometry.

Results
Energy above the most stable polymorph in this dataset = 0.412 eV/atom
Calculated volume = 20.76 A^3/atom
Crystal system = orthorhombic
Magnetization = 0.003 μB/f.u.
ΔE_f (raw) = 1.075 eV per atom

Cell lengths 6.993, 6.993, 2.501 Å; angles 90.00, 90.00, 137.24 degrees
Positions (direct):
K (0.000, 0.000, 0.000)
Ru (0.000, 0.500, 0.500)
Ru (0.500, 0.000, 0.500)
Cl (0.500, 0.500, 0.000)

***

No. 2
A plane-wave DFT calculation with PBEsol was carried out for crystalline K2RuCl6 at its relaxed geometry.

Results
Calculated volume = 24.65 A^3/atom
Crystal system = cubic
Magnetization = 2.002 μB/f.u.
ΔE_f (raw) = -1.200 eV per atom

Cell lengths 6.795, 6.795, 6.795 Å; angles 60.00, 60.00, 60.00 degrees
Positions (direct):
K (0.250, 0.250, 0.250)
K (0.750, 0.750, 0.750)
Ru (0.000, 0.000, 0.000)
Cl (0.241, 0.241, 0.759)
Cl (0.241, 0.759, 0.241)
Cl (0.241, 0.759, 0.759)
Cl (0.759, 0.241, 0.241)
Cl (0.759, 0.241, 0.759)
Cl (0.759, 0.759, 0.241)

***

No. 3
A plane-wave DFT calculation with PBEsol was carried out for crystalline KRu2Cl at its relaxed geometry.

Results
Energy above the most stable polymorph in this dataset = 0.211 eV/atom
Calculated volume = 21.52 A^3/atom
Crystal system = tetragonal
Magnetization = 0.048 μB/f.u.
ΔE_f (raw) = 0.874 eV per atom

Cell lengths 3.616, 3.616, 6.585 Å; angles 90.00, 90.00, 90.00 degrees
Positions (direct):
K (0.000, 0.000, 0.000)
Ru (0.000, 0.500, 0.500)
Ru (0.500, 0.000, 0.500)
Cl (0.500, 0.500, 0.000)

***

No. 4
A plane-wave DFT calculation with PBEsol was carried out for crystalline KRuCl4 at its relaxed geometry.

Results
Calculated volume = 23.56 A^3/atom
Crystal system = cubic
Magnetization = 4.942 μB/f.u.
ΔE_f (raw) = 0.583 eV per atom

Cell lengths 5.847, 5.847, 5.847 Å; angles 60.00, 60.00, 60.00 degrees
Positions (direct):
K (0.000, 0.000, 0.000)
Ru (0.750, 0.750, 0.750)
Cl (0.376, 0.376, 0.376)
Cl (0.376, 0.376, 0.873)
Cl (0.376, 0.873, 0.376)
Cl (0.873, 0.376, 0.376)

***

No. 5
A plane-wave DFT calculation with PBEsol was carried out for crystalline KRuCl at its relaxed geometry.

Results
Energy above the most stable polymorph in this dataset = 0.914 eV/atom
Calculated volume = 28.19 A^3/atom
Crystal system = cubic
Magnetization = 2.588 μB/f.u.
ΔE_f (raw) = 1.325 eV per atom

Cell lengths 4.927, 4.927, 4.927 Å; angles 60.00, 60.00, 60.00 degrees
Positions (direct):
K (0.000, 0.000, 0.000)
Ru (0.750, 0.750, 0.750)
Cl (0.250, 0.250, 0.250)

***

No. 6
A plane-wave DFT calculation with PBEsol was carried out for crystalline KRu2Cl at its relaxed geometry.

Results
Energy above the most stable polymorph in this dataset = 0.000 eV/atom
Calculated volume = 17.50 A^3/atom
Crystal system = monoclinic
Magnetization = 0.001 μB/f.u.
ΔE_f (raw) = 0.663 eV per atom

Cell lengths 5.977, 5.977, 4.683 Å; angles 112.45, 112.45, 27.07 degrees
Positions (direct):
K (0.000, 0.000, 0.000)
Ru (0.213, 0.213, 0.670)
Ru (0.787, 0.787, 0.330)
Cl (0.500, 0.500, 0.500)